Computed, not measured: LaTm6In2 after structural relaxation at the PBE-GGA level of DFT.

Cell: 3.7222 6.5482 11.8561 Å, 74.77 80.97 73.49°
Atoms (fractional coordinates):
La1 0.0000 0.0000 0.0000
Tm1 0.6881 0.4966 0.1272
Tm2 0.3119 0.5034 0.8728
Tm3 0.3112 0.7987 0.5790
Tm4 0.9887 0.6744 0.3482
Tm5 0.0113 0.3256 0.6518
Tm6 0.6888 0.2013 0.4210
In1 0.3525 0.0699 0.2251
In2 0.6475 0.9301 0.7749

Results
formation enthalpy at 0 K	-0.190	eV/atom
uncorrected energy	-4.33	eV/atom